1.
VASP calculation (PBE) on Cd2AsSe after structural relaxation.

Results
uncorrected formation energy	0.1857	eV/atom
crystal system	cubic
E above lowest polymorph	0.3641	eV per atom
total moment	0.000	μB per atom

a b c (Å): 7.0632 7.0632 7.0632
angles (deg): 90.00 90.00 90.00
Space group Fm-3m (No. 225)
Inequivalent atoms, fractional coordinates:
Cd (0.2500, 0.2500, 0.2500) x8
As (0.0000, 0.0000, 0.0000) x4
Se (0.0000, 0.0000, 0.5000) x4

=====

2.
VASP calculation (PBE) on Pa4Co5Ni2 after structural relaxation.

Results
crystal system	orthorhombic
energy	-7.6312	eV per atom
total moment	0.053	μB per atom

a b c (Å): 4.5414 13.5942 13.6562
angles (deg): 90.00 90.00 90.00
Space group Fmmm (No. 69)
Inequivalent atoms, fractional coordinates:
Pa (0.0000, 0.1296, 0.1319) x16
Co (0.0000, 0.0000, 0.0000) x4
Co (0.2500, 0.2500, 0.0000) x8
Co (0.2500, 0.2500, 0.2500) x8
Ni (0.0000, 0.0000, 0.2864) x8

=====

3.
VASP calculation (PBE) on NdSm2Tm after structural relaxation.

Results
crystal system	tetragonal
E above lowest polymorph	0.1005	eV per atom
total moment	0.000	μB per atom

a b c (Å): 4.2294 4.2294 7.4574
angles (deg): 90.00 90.00 90.00
Space group P4/mmm (No. 123)
Inequivalent atoms, fractional coordinates:
Nd (0.0000, 0.0000, 0.0000) x1
Sm (0.5000, 0.5000, 0.2594) x2
Tm (0.0000, 0.0000, 0.5000) x1

=====

4.
VASP calculation (PBE) on SrLa7Nd4 after structural relaxation.

Results
crystal system	triclinic
energy	-4.5522	eV per atom
total moment	0.000	μB per atom

a b c (Å): 6.4935 7.5222 9.9142
angles (deg): 78.75 71.05 89.76
Space group P-1 (No. 2)
Inequivalent atoms, fractional coordinates:
Sr (0.0000, 0.0000, 0.0000) x1
La (0.0000, 0.5000, 0.0000) x1
La (0.1714, 0.9147, 0.3418) x2
La (0.3418, 0.3414, 0.6611) x2
La (0.5004, 0.2657, 0.0006) x2
Nd (0.1616, 0.4167, 0.3329) x2
Nd (0.3446, 0.8290, 0.6609) x2

=====

5.
VASP calculation (PBE) on Li3Np4Se8 after structural relaxation.

Results
uncorrected formation energy	-1.1501	eV/atom
crystal system	monoclinic
total moment	1.000	μB per atom

a b c (Å): 11.3445 11.5350 8.0085
angles (deg): 90.00 134.21 90.00
Space group C2/m (No. 12)
Inequivalent atoms, fractional coordinates:
Li (0.0000, 0.0000, 0.0000) x2
Li (0.2500, 0.2500, 0.0000) x4
Np (0.0000, 0.0000, 0.5000) x2
Np (0.0000, 0.5000, 0.0000) x2
Np (0.2500, 0.2500, 0.5000) x4
Se (0.0000, 0.2473, 0.5000) x4
Se (0.0000, 0.2494, 0.0000) x4
Se (0.2450, 0.0000, 0.9862) x4
Se (0.2477, 0.5000, 0.5038) x4

=====

6.
VASP calculation (PBE) on GaHg2Mo after structural relaxation.

Results
crystal system	tetragonal
energy	-3.0049	eV per atom
total moment	0.250	μB per atom

a b c (Å): 3.9563 3.9563 21.0796
angles (deg): 90.00 90.00 90.00
Space group I-42d (No. 122)
Inequivalent atoms, fractional coordinates:
Ga (0.0000, 0.0000, 0.0000) x4
Hg (0.2455, 0.2500, 0.6250) x8
Mo (0.0000, 0.0000, 0.5000) x4

=====

7.
VASP calculation (PBE) on TmZn6 after structural relaxation.

Results
crystal system	tetragonal
E above lowest polymorph	0.0855	eV per atom
total moment	0.000	μB per atom

a b c (Å): 5.4790 5.4790 8.1077
angles (deg): 90.00 90.00 90.00
Space group P4/nbm (No. 125, origin choice 2)
Inequivalent atoms, fractional coordinates:
Tm (0.2500, 0.7500, 0.0000) x2
Zn (0.0757, 0.5757, 0.3602) x8
Zn (0.2500, 0.2500, 0.1575) x4

=====

8.
VASP calculation (PBE) on CsTi3Nb after structural relaxation.

Results
crystal system	cubic
E above lowest polymorph	0.9516	eV per atom
total moment	0.000	μB per atom

a b c (Å): 4.8683 4.8683 4.8683
angles (deg): 90.00 90.00 90.00
Space group Pm-3m (No. 221)
Inequivalent atoms, fractional coordinates:
Cs (0.0000, 0.0000, 0.0000) x1
Ti (0.0000, 0.0000, 0.5000) x3
Nb (0.5000, 0.5000, 0.5000) x1

=====

9.
VASP calculation (PBE) on Ti2NbCo2 after structural relaxation.

Results
crystal system	tetragonal
E above lowest polymorph	0.0487	eV per atom
total moment	0.000	μB per atom

a b c (Å): 7.1875 7.1875 2.7512
angles (deg): 90.00 90.00 90.00
Space group P4/mbm (No. 127)
Inequivalent atoms, fractional coordinates:
Ti (0.1519, 0.3481, 0.0000) x4
Nb (0.0000, 0.0000, 0.0000) x2
Co (0.1450, 0.6450, 0.5000) x4

=====

10.
VASP calculation (PBE) on Tl2FeI after structural relaxation.

Results
uncorrected formation energy	0.4942	eV/atom
crystal system	tetragonal
E above lowest polymorph	0.0000	eV per atom
total moment	0.750	μB per atom

a b c (Å): 6.1214 6.1214 16.4090
angles (deg): 90.00 90.00 90.00
Space group I-42d (No. 122)
Inequivalent atoms, fractional coordinates:
Tl (0.1266, 0.2500, 0.1250) x8
Fe (0.0000, 0.0000, 0.0000) x4
I (0.0000, 0.0000, 0.5000) x4

=====

11.
VASP calculation (PBE) on PaSbIr after structural relaxation.

Results
uncorrected formation energy	-0.6575	eV/atom
crystal system	trigonal
total moment	0.000	μB per atom

a b c (Å): 4.4291 4.4291 3.9989
angles (deg): 90.00 90.00 120.00
Space group P3m1 (No. 156)
Inequivalent atoms, fractional coordinates:
Pa (0.0000, 0.0000, 0.0000) x1
Sb (0.6667, 0.3333, 0.5227) x1
Ir (0.3333, 0.6667, 0.3585) x1

=====

12.
VASP calculation (PBE) on Li2U2S5 after structural relaxation.

Results
uncorrected formation energy	-1.2719	eV/atom
crystal system	monoclinic
E above lowest polymorph	0.0000	eV per atom
total moment	0.445	μB per atom

a b c (Å): 13.6586 4.2967 8.1119
angles (deg): 90.00 121.85 90.00
Space group C2/m (No. 12)
Inequivalent atoms, fractional coordinates:
Li (0.1651, 0.0000, 0.4949) x4
U (0.1061, 0.5000, 0.9552) x4
S (0.0000, 0.0000, 0.0000) x2
S (0.1199, 0.5000, 0.3290) x4
S (0.1611, 0.0000, 0.8023) x4

=====

13.
VASP calculation (PBE) on EuHf2C after structural relaxation.

Results
crystal system	trigonal
energy	-10.1120	eV per atom
total moment	1.851	μB per atom

a b c (Å): 3.3033 3.3033 27.1665
angles (deg): 90.00 90.00 120.00
Space group R-3m (No. 166, hexagonal axes)
Inequivalent atoms, fractional coordinates:
Eu (0.0000, 0.0000, 0.0000) x3
Hf (0.0000, 0.0000, 0.1216) x6
C (0.0000, 0.0000, 0.5000) x3

=====

14.
VASP calculation (PBE) on Ca2LaCo after structural relaxation.

Results
crystal system	orthorhombic
E above lowest polymorph	0.1002	eV per atom
total moment	0.002	μB per atom

a b c (Å): 5.1969 13.4331 3.8123
angles (deg): 90.00 90.00 90.00
Space group Cmmm (No. 65)
Inequivalent atoms, fractional coordinates:
Ca (0.0000, 0.1541, 0.0000) x4
La (0.0000, 0.5000, 0.5000) x2
Co (0.0000, 0.0000, 0.5000) x2

=====

15.
VASP calculation (PBE) on Sm2Ga2Pb after structural relaxation.

Results
crystal system	orthorhombic
energy	-4.4294	eV per atom
total moment	0.000	μB per atom

a b c (Å): 4.1546 14.6337 4.1926
angles (deg): 90.00 90.00 90.00
Space group Cmmm (No. 65)
Inequivalent atoms, fractional coordinates:
Sm (0.0000, 0.1328, 0.0000) x4
Ga (0.0000, 0.2968, 0.5000) x4
Pb (0.0000, 0.5000, 0.5000) x2

=====

16.
VASP calculation (PBE) on Na2BiRu after structural relaxation.

Results
crystal system	tetragonal
energy	-3.4769	eV per atom
total moment	0.000	μB per atom

a b c (Å): 4.0069 4.0069 22.5062
angles (deg): 90.00 90.00 90.00
Space group I-42d (No. 122)
Inequivalent atoms, fractional coordinates:
Na (0.2363, 0.2500, 0.1250) x8
Bi (0.0000, 0.0000, 0.5000) x4
Ru (0.0000, 0.0000, 0.0000) x4

=====

17.
VASP calculation (PBE) on RbCeTlO4 after structural relaxation.

Results
uncorrected formation energy	-1.9245	eV/atom
crystal system	orthorhombic
total moment	0.000	μB per atom

a b c (Å): 6.9893 7.1915 10.7660
angles (deg): 90.00 90.00 90.00
Space group Imma (No. 74)
Inequivalent atoms, fractional coordinates:
Rb (0.0000, 0.2500, 0.1342) x4
Ce (0.0000, 0.0000, 0.5000) x4
Tl (0.2500, 0.2500, 0.7500) x4
O (0.0000, 0.0504, 0.7210) x8
O (0.1925, 0.2500, 0.5087) x8

=====

18.
VASP calculation (PBE) on Ac8CoPt3Br4 after structural relaxation.

Results
uncorrected formation energy	-1.1998	eV/atom
crystal system	trigonal
total moment	0.000	μB per atom

a b c (Å): 8.8032 8.8032 24.6870
angles (deg): 90.00 90.00 120.00
Space group R-3m (No. 166, hexagonal axes)
Inequivalent atoms, fractional coordinates:
Ac (0.0000, 0.0000, 0.2325) x6
Ac (0.0111, 0.5055, 0.2312) x18
Co (0.0000, 0.0000, 0.5000) x3
Pt (0.0000, 0.5000, 0.5000) x9
Br (0.0000, 0.0000, 0.0000) x3
Br (0.0000, 0.5000, 0.0000) x9

=====

19.
VASP calculation (PBE) on PuNbV2 after structural relaxation.

Results
crystal system	cubic
E above lowest polymorph	0.0013	eV per atom
total moment	0.871	μB per atom

a b c (Å): 6.4555 6.4555 6.4555
angles (deg): 90.00 90.00 90.00
Space group Fm-3m (No. 225)
Inequivalent atoms, fractional coordinates:
Pu (0.0000, 0.0000, 0.0000) x4
Nb (0.0000, 0.0000, 0.5000) x4
V (0.2500, 0.2500, 0.2500) x8

=====

20.
VASP calculation (PBE) on Ac2NdV after structural relaxation.

Results
crystal system	trigonal
energy	-4.7820	eV per atom
total moment	0.920	μB per atom

a b c (Å): 3.7040 3.7040 36.9163
angles (deg): 90.00 90.00 120.00
Space group R-3m (No. 166, hexagonal axes)
Inequivalent atoms, fractional coordinates:
Ac (0.0000, 0.0000, 0.0818) x6
Nd (0.0000, 0.0000, 0.5000) x3
V (0.0000, 0.0000, 0.0000) x3

=====

21.
VASP calculation (PBE) on K4H2ClF after structural relaxation.

Results
crystal system	orthorhombic
energy	-3.0972	eV per atom
total moment	0.004	μB per atom

a b c (Å): 8.2397 8.2549 11.6838
angles (deg): 90.00 90.00 90.00
Space group Imma (No. 74)
Inequivalent atoms, fractional coordinates:
K (0.0000, 0.0193, 0.2428) x8
K (0.2426, 0.2500, 0.0090) x8
H (0.0000, 0.0000, 0.5000) x4
H (0.2500, 0.2500, 0.2500) x4
Cl (0.2500, 0.2500, 0.7500) x4
F (0.0000, 0.0000, 0.0000) x4

=====

22.
VASP calculation (PBE) on NiAsW2 after structural relaxation.

Results
crystal system	orthorhombic
energy	-8.7985	eV per atom
total moment	0.000	μB per atom

a b c (Å): 3.1922 4.4063 8.4287
angles (deg): 90.00 90.00 90.00
Space group Immm (No. 71)
Inequivalent atoms, fractional coordinates:
Ni (0.0000, 0.0000, 0.0000) x2
As (0.0000, 0.0000, 0.5000) x2
W (0.0000, 0.5000, 0.2384) x4

=====

23.
VASP calculation (PBE) on CoPtN2 after structural relaxation.

Results
uncorrected formation energy	0.5920	eV/atom
crystal system	tetragonal
E above lowest polymorph	0.2031	eV per atom
total moment	0.000	μB per atom

a b c (Å): 4.6117 4.6117 8.6082
angles (deg): 90.00 90.00 90.00
Space group I-42d (No. 122)
Inequivalent atoms, fractional coordinates:
Co (0.0000, 0.0000, 0.0000) x4
Pt (0.0000, 0.0000, 0.5000) x4
N (0.2065, 0.2500, 0.1250) x8

=====

24.
VASP calculation (PBE) on DyScHg3 after structural relaxation.

Results
crystal system	hexagonal
E above lowest polymorph	0.1428	eV per atom
total moment	0.000	μB per atom

a b c (Å): 6.9204 6.9204 6.2647
angles (deg): 90.00 90.00 120.00
Space group P6_3/mmc (No. 194)
Inequivalent atoms, fractional coordinates:
Dy (0.3333, 0.6667, 0.2500) x2
Sc (0.0000, 0.0000, 0.0000) x2
Hg (0.1954, 0.3907, 0.7500) x6